Model A:
An optimized crystal structure of Te3HSe. Source: Alexandria via LeMat-Bulk, functional PBE.

As for the density of states at the Fermi level: 5.18 states/eV/f.u. The value obtained for the magnetic moment is 0.888 μB/cell.

It has space group Pm-3m (No. 221), with a = 5.5466 Å, b = 5.5466 Å, c = 5.5466 Å, α = 90.00°, β = 90.00° and γ = 90.00°. Symmetry generates all atoms from Te at (0.0000, 0.0000, 0.5000), H at (0.5000, 0.5000, 0.5000) and Se at (0.0000, 0.0000, 0.0000).

---

Model B:
An optimized crystal structure of Te3HSe. Source: Alexandria via LeMat-Bulk, functional PBE.

As for the density of states at the Fermi level: 4.05 states/eV/f.u. The value obtained for the magnetic moment is 0.000 μB/cell.

It has space group Pm-3m (No. 221), with a = 4.7623 Å, b = 4.7623 Å, c = 4.7623 Å, α = 90.00°, β = 90.00° and γ = 90.00°. Symmetry generates all atoms from Te at (0.0000, 0.0000, 0.5000), H at (0.0000, 0.0000, 0.0000) and Se at (0.5000, 0.5000, 0.5000).

---

Relative energies with respect to the most stable structure, expressed in eV/atom: model A 0.304; model B 0.000.